8
Lattice="6.9209 0.0000 0.0000 0.0000 3.9988 0.0000 -2.3098 0.0000 6.5307" Properties=species:S:1:pos:R:3 comment="PmTmPa2P4, optimized geometry, DFT PBE" formation_enthalpy_0k_mev_per_atom=-1435.1 space_group="P2/m (10)" pbc="T T T"
Pm 0.0000 0.0000 0.0000
Tm -1.1549 1.9994 3.2653
Pa 2.3055 0.0000 3.2653
Pa 3.4605 1.9994 0.0000
P 0.0377 0.0000 4.8744
P 1.1938 1.9994 1.6862
P 3.4173 1.9994 4.8445
P 4.5734 0.0000 1.6562